Material: ScTlHBr2
Method: DFT, PBE
State: optimized geometry

Cell: 5.575 5.575 3.733 Å, 90.00 90.00 90.00°
Space group P4/mmm (No. 123)
Symmetry-distinct sites (fractional):
1 Sc 0.000 0.000 0.000 [1 per cell]
2 Tl 0.500 0.500 0.000 [1 per cell]
3 H 0.500 0.500 0.500 [1 per cell]
4 Br 0.000 0.500 0.500 [2 per cell]


Material: ScTlH2Br
Method: DFT, PBE
State: optimized geometry

Cell: 4.320 4.320 5.384 Å, 90.00 90.00 90.00°
Space group P4/mmm (No. 123)
Symmetry-distinct sites (fractional):
1 Sc 0.000 0.000 0.000 [1 per cell]
2 Tl 0.500 0.500 0.500 [1 per cell]
3 H 0.000 0.500 0.000 [2 per cell]
4 Br 0.000 0.000 0.500 [1 per cell]


Material: ScH2WBr
Method: DFT, PBE
State: optimized geometry

Output
Energy relative to the lowest polymorph listed for this composition in meV/atom: 993

Cell: 3.860 3.860 5.899 Å, 90.00 90.00 90.00°
Space group P4/mmm (No. 123)
Symmetry-distinct sites (fractional):
1 Sc 0.000 0.000 0.000 [1 per cell]
2 H 0.000 0.500 0.500 [2 per cell]
3 W 0.500 0.500 0.000 [1 per cell]
4 Br 0.000 0.000 0.500 [1 per cell]


Material: ScH2WBr
Method: DFT, PBE
State: optimized geometry

Output
Energy relative to the lowest polymorph listed for this composition in meV/atom: 0

Cell: 3.767 3.767 5.553 Å, 90.00 90.00 90.00°
Space group P4/mmm (No. 123)
Symmetry-distinct sites (fractional):
1 Sc 0.000 0.000 0.000 [1 per cell]
2 H 0.000 0.500 0.500 [2 per cell]
3 W 0.000 0.000 0.500 [1 per cell]
4 Br 0.500 0.500 0.000 [1 per cell]


Material: H2SeBr6
Method: DFT, PBE
State: optimized geometry

Cell: 16.086 13.165 6.496 Å, 90.00 96.74 90.00°
Space group C2/c (No. 15)
Symmetry-distinct sites (fractional):
1 H 0.141 0.020 0.335 [8 per cell]
2 Se 0.000 0.406 0.750 [4 per cell]
3 Br 0.091 0.283 0.619 [8 per cell]
4 Br 0.098 0.430 0.098 [8 per cell]
5 Br 0.141 0.089 0.161 [8 per cell]


Material: H4SeBr2
Method: DFT, PBE
State: optimized geometry

Output
Energy relative to the lowest polymorph listed for this composition in meV/atom: 11

Cell: 17.259 5.748 8.635 Å, 90.00 90.00 90.00°
Space group Cmcm (No. 63)
Symmetry-distinct sites (fractional):
1 H 0.000 0.104 0.129 [8 per cell]
2 H 0.232 0.358 0.750 [8 per cell]
3 Se 0.000 0.286 0.250 [4 per cell]
4 Br 0.178 0.161 0.750 [8 per cell]


Material: HSeBr3
Method: DFT, PBE
State: optimized geometry

Output
Energy relative to the lowest polymorph listed for this composition in meV/atom: 915

Cell: 4.666 4.666 4.666 Å, 90.00 90.00 90.00°
Space group Pm-3m (No. 221)
Symmetry-distinct sites (fractional):
1 H 0.000 0.000 0.000 [1 per cell]
2 Se 0.500 0.500 0.500 [1 per cell]
3 Br 0.000 0.000 0.500 [3 per cell]


Material: H2Se2Br3
Method: DFT, PBE
State: optimized geometry

Cell: 4.360 6.117 10.504 Å, 75.90 82.76 69.47°
Space group P-1 (No. 2)
Symmetry-distinct sites (fractional):
1 H 0.211 0.417 0.251 [2 per cell]
2 Se 0.246 0.026 0.057 [2 per cell]
3 Br 0.000 0.500 0.000 [1 per cell]
4 Br 0.432 0.336 0.356 [2 per cell]


Mass density, respectively: 5870 5476 5871 6547 2724 1883 5226 2611 kg/m³.
Raw total energy, respectively: -3.213 -3.710 -4.155 -5.147 -2.416 -3.025 -1.583 -2.773 eV/atom.